Entry from Alexandria via LeMat-Bulk: In2S8Br after structural relaxation (PBE).

Computed properties:
The total energy comes out at -0.13748 hartree per atom. As for the density of states at the Fermi level: 2.38 states/eV/cell. The calculation puts the theoretical density at 3.18 Mg/m³.

Lattice parameters (Å, degrees): 5.328 6.682 8.967 93.50 95.58 110.83
Positions (direct):
In: 0.097 0.392 0.294
In: 0.903 0.608 0.706
S: 0.123 0.325 0.592
S: 0.378 0.206 0.157
S: 0.399 0.878 0.686
S: 0.425 0.308 0.737
S: 0.575 0.692 0.263
S: 0.601 0.122 0.314
S: 0.622 0.794 0.843
S: 0.877 0.675 0.408
Br: 0.000 0.500 0.000

---

Entry from Alexandria via LeMat-Bulk: In2SBr after structural relaxation (PBE).

Computed properties:
Its offset from the most stable computed form is 0.015 eV per atom. The calculation puts the theoretical density at 4.16 Mg/m³.

Lattice parameters (Å, degrees): 4.055 6.097 11.702 88.21 89.89 70.68
Positions (direct):
In: 0.120 0.263 0.478
In: 0.231 0.035 0.871
In: 0.769 0.965 0.129
In: 0.880 0.737 0.522
S: 0.292 0.914 0.624
S: 0.708 0.086 0.376
Br: 0.432 0.633 0.215
Br: 0.568 0.367 0.785

---

Entry from Alexandria via LeMat-Bulk: InSBr2 after structural relaxation (PBE).

Computed properties:
As for the density of states at the Fermi level: 0.00 states/eV/cell. Its offset from the most stable computed form is 0.146 eV per atom. The calculation puts the theoretical density at 3.21 Mg/m³.

Lattice parameters (Å, degrees): 6.874 7.136 7.804 75.39 64.09 67.93
Positions (direct):
In: 0.000 0.000 0.000
In: 0.497 0.769 0.372
S: 0.064 0.371 0.584
S: 0.975 0.115 0.677
Br: 0.003 0.626 0.090
Br: 0.355 0.037 0.002
Br: 0.649 0.168 0.286
Br: 0.749 0.638 0.701

---

Entry from Alexandria via LeMat-Bulk: In2SBr after structural relaxation (PBE).

Computed properties:
As for the density of states at the Fermi level: 5.08 states/eV/cell. Its offset from the most stable computed form is 0.221 eV per atom. The calculation puts the theoretical density at 4.01 Mg/m³.

Lattice parameters (Å, degrees): 4.383 4.383 25.477 90.00 90.00 120.00
Positions (direct):
In: 0.000 0.000 0.110
In: 0.000 0.000 0.890
In: 0.333 0.667 0.557
In: 0.333 0.667 0.776
In: 0.667 0.333 0.224
In: 0.667 0.333 0.443
S: 0.000 0.000 0.500
S: 0.333 0.667 0.167
S: 0.667 0.333 0.833
Br: 0.000 0.000 0.000
Br: 0.333 0.667 0.667
Br: 0.667 0.333 0.333

---

Entry from Alexandria via LeMat-Bulk: InSBr2 after structural relaxation (PBE).

Computed properties:
As for the density of states at the Fermi level: 0.00 states/eV/cell. Its offset from the most stable computed form is 0.149 eV per atom. The calculation puts the theoretical density at 3.23 Mg/m³.

Lattice parameters (Å, degrees): 6.967 7.101 7.781 91.90 114.62 112.39
Positions (direct):
In: 0.000 0.000 0.000
In: 0.290 0.662 0.789
S: 0.046 0.927 0.441
S: 0.958 0.633 0.468
Br: 0.185 0.516 0.051
Br: 0.555 0.057 0.947
Br: 0.572 0.545 0.741
Br: 0.860 0.074 0.551

---

Entry from Alexandria via LeMat-Bulk: In2SBr after structural relaxation (PBE).

Computed properties:
Its offset from the most stable computed form is 0.000 eV per atom. The calculation puts the theoretical density at 4.48 Mg/m³.

Lattice parameters (Å, degrees): 4.093 5.999 10.989 85.81 89.96 70.22
Positions (direct):
In: 0.112 0.278 0.450
In: 0.337 0.822 0.901
In: 0.663 0.178 0.099
In: 0.888 0.722 0.550
S: 0.285 0.929 0.633
S: 0.715 0.071 0.367
Br: 0.011 0.471 0.820
Br: 0.989 0.529 0.180

---

Entry from Alexandria via LeMat-Bulk: InS3Br after structural relaxation (PBE).

Computed properties:
Its offset from the most stable computed form is 0.000 eV per atom. The calculation puts the theoretical density at 3.13 Mg/m³.

Lattice parameters (Å, degrees): 3.947 5.281 7.722 96.82 102.09 97.00
Positions (direct):
In: 0.000 0.000 0.000
S: 0.131 0.503 0.982
S: 0.218 0.520 0.728
S: 0.407 0.905 0.755
Br: 0.646 0.085 0.261

---

Entry from Alexandria via LeMat-Bulk: In2SBr after structural relaxation (PBE).

Computed properties:
Its offset from the most stable computed form is 0.011 eV per atom. The calculation puts the theoretical density at 4.43 Mg/m³.

Lattice parameters (Å, degrees): 4.056 6.037 11.308 100.23 90.03 109.50
Positions (direct):
In: 0.000 0.000 0.000
In: 0.138 0.289 0.759
In: 0.281 0.563 0.443
In: 0.498 0.994 0.353
S: 0.084 0.168 0.262
S: 0.687 0.373 0.528
Br: 0.334 0.666 0.065
Br: 0.433 0.874 0.705

---

Entry from Alexandria via LeMat-Bulk: InS8Br2 after structural relaxation (PBE).

Computed properties:
The total energy comes out at -0.13407 hartree per atom. As for the density of states at the Fermi level: 3.97 states/eV/cell. The calculation puts the theoretical density at 2.54 Mg/m³.

Lattice parameters (Å, degrees): 7.232 7.684 7.913 117.60 94.42 111.04
Positions (direct):
In: 0.000 0.000 0.000
S: 0.116 0.848 0.657
S: 0.124 0.858 0.229
S: 0.128 0.326 0.754
S: 0.308 0.108 0.670
S: 0.692 0.892 0.330
S: 0.872 0.674 0.246
S: 0.876 0.142 0.771
S: 0.884 0.152 0.343
Br: 0.353 0.353 0.214
Br: 0.647 0.647 0.786

---

Entry from Alexandria via LeMat-Bulk: In5S5Br after structural relaxation (PBE).

Computed properties:
The total energy comes out at -0.14063 hartree per atom. The calculation puts the theoretical density at 4.83 Mg/m³.

Lattice parameters (Å, degrees): 3.990 9.210 15.251 90.00 90.00 90.00
Positions (direct):
In: 0.000 0.024 0.000
In: 0.000 0.318 0.047
In: 0.000 0.381 0.646
In: 0.000 0.632 0.849
In: 0.000 0.898 0.271
In: 0.500 0.102 0.771
In: 0.500 0.368 0.349
In: 0.500 0.619 0.146
In: 0.500 0.682 0.547
In: 0.500 0.976 0.500
S: 0.000 0.065 0.408
S: 0.000 0.269 0.807
S: 0.000 0.445 0.197
S: 0.000 0.525 0.497
S: 0.000 0.805 0.107
S: 0.500 0.195 0.607
S: 0.500 0.475 0.997
S: 0.500 0.555 0.697
S: 0.500 0.731 0.307
S: 0.500 0.935 0.908
Br: 0.000 0.898 0.706
Br: 0.500 0.102 0.206

---

Entry from Alexandria via LeMat-Bulk: In2SBr after structural relaxation (PBE).

Computed properties:
Its offset from the most stable computed form is 0.012 eV per atom. The calculation puts the theoretical density at 4.50 Mg/m³.

Lattice parameters (Å, degrees): 11.342 4.061 11.747 90.00 111.27 90.00
Positions (direct):
In: 0.000 0.000 0.000
In: 0.057 0.500 0.355
In: 0.196 0.000 0.906
In: 0.281 0.000 0.590
In: 0.500 0.500 0.000
In: 0.557 0.000 0.355
In: 0.696 0.500 0.906
In: 0.781 0.500 0.590
S: 0.275 0.500 0.821
S: 0.428 0.000 0.090
S: 0.775 0.000 0.821
S: 0.928 0.500 0.090
Br: 0.217 0.000 0.280
Br: 0.489 0.500 0.635
Br: 0.717 0.500 0.280
Br: 0.989 0.000 0.635

---

Entry from Alexandria via LeMat-Bulk: In2SBr after structural relaxation (PBE).

Computed properties:
Its offset from the most stable computed form is 0.048 eV per atom. The calculation puts the theoretical density at 4.23 Mg/m³.

Lattice parameters (Å, degrees): 5.498 6.422 8.973 95.39 106.58 114.52
Positions (direct):
In: 0.000 0.000 0.000
In: 0.053 0.412 0.745
In: 0.265 0.724 0.392
In: 0.475 0.268 0.917
S: 0.602 0.999 0.764
S: 0.976 0.599 0.008
Br: 0.734 0.531 0.511
Br: 0.882 0.092 0.255